Mn2NbFeO6 | PBEsol | relaxed

The structure belongs to space group R3 (No. 146, hexagonal axes); the cell edges are 5.2582, 5.2582 and 14.4482 Å and the angles 90.00°, 90.00° and 120.00°. The distinct sites, in fractional coordinates, are Mn at (0.0000, 0.0000, 0.0000), Mn at (0.0000, 0.0000, 0.1934), Nb at (0.0000, 0.0000, 0.8074), Fe at (0.0000, 0.0000, 0.6262), O at (0.0469, 0.3774, 0.5812) and O at (0.0696, 0.7177, 0.7438).

The value obtained for the uncorrected formation energy is -1.606 eV per atom. The value obtained for the electronic total energy is -260.59 eV/cell.